A plane-wave DFT calculation with GGA-PBE was carried out for an optimized crystal structure of Ca4NdCd2.

abc: 8.7321 8.7321 8.7321
angles: 38.34 38.34 38.34
With the nearest neighbours (Å) after each atom.
Atoms (fractional coordinates):
Ca1 0.0714 0.0714 0.0714  5 Ca 3.41-3.80, 3 Cd 3.43
Ca2 0.2280 0.2280 0.2280  4 Cd 3.38-3.73, 3 Ca 3.41, 3 Nd 3.63
Ca3 0.7720 0.7720 0.7720  4 Cd 3.38-3.73, 3 Ca 3.41, 3 Nd 3.63
Ca4 0.9286 0.9286 0.9286  5 Ca 3.41-3.80, 3 Cd 3.43
Nd1 0.5000 0.5000 0.5000  2 Cd 3.21
Cd1 0.3674 0.3674 0.3674  1 Nd 3.21, 4 Ca 3.38-3.43
Cd2 0.6326 0.6326 0.6326  1 Nd 3.21, 4 Ca 3.38-3.43

Computed properties:
Formation energy: -0.0601 eV per atom
D(E_F): 6.65 states/eV per cell
Final energy: -2.146 eV/atom

A plane-wave DFT calculation with GGA-PBE was carried out for an optimized crystal structure of Ca2Nd2Cd.

abc: 12.5430 12.5430 12.5430
angles: 162.98 162.98 24.16
With the nearest neighbours (Å) after each atom.
Atoms (fractional coordinates):
Ca1 0.0829 0.0829 0.0000  4 Cd 3.32, 4 Ca 3.71
Ca2 0.9171 0.9171 0.0000  4 Cd 3.32, 4 Ca 3.71
Nd1 0.3000 0.3000 0.0000  8 Nd 3.59-3.71, 4 Ca 3.89
Nd2 0.7000 0.7000 0.0000  8 Nd 3.59-3.71, 4 Ca 3.89
Cd1 0.5000 0.5000 0.0000  8 Ca 3.32, 4 Cd 3.71

Computed properties:
Formation energy: -0.1131 eV per atom
D(E_F): 5.65 states/eV per cell
Final energy: -3.004 eV/atom

A plane-wave DFT calculation with GGA-PBE was carried out for an optimized crystal structure of Ca5NdCd4.

abc: 3.8009 3.8009 20.8986
angles: 90.00 90.00 90.00
With the nearest neighbours (Å) after each atom.
Atoms (fractional coordinates):
Ca1 0.0000 0.0000 0.0000  8 Cd 3.30
Ca2 0.0000 0.0000 0.1858  8 Cd 3.33
Ca3 0.0000 0.0000 0.3710  4 Cd 3.29
Ca4 0.0000 0.0000 0.6290  4 Cd 3.29
Ca5 0.0000 0.0000 0.8142  8 Cd 3.33
Nd1 0.5000 0.5000 0.5000  4 Nd 3.80, 8 Ca 3.81
Cd1 0.5000 0.5000 0.0918  8 Ca 3.30-3.33
Cd2 0.5000 0.5000 0.2802  8 Ca 3.29-3.33
Cd3 0.5000 0.5000 0.7198  8 Ca 3.29-3.33
Cd4 0.5000 0.5000 0.9082  8 Ca 3.30-3.33

Computed properties:
Formation energy: -0.2489 eV per atom
D(E_F): 12.64 states/eV per cell
Final energy: -2.092 eV/atom

A plane-wave DFT calculation with GGA-PBE was carried out for an optimized crystal structure of CaNd3Cd2.

abc: 8.6931 8.6931 9.3385
angles: 116.26 116.26 37.24
With the nearest neighbours (Å) after each atom.
Atoms (fractional coordinates):
Ca1 0.1349 0.1349 0.1892  5 Cd 3.27-3.50, 3 Nd 3.62-3.64
Ca2 0.8651 0.8651 0.8108  5 Cd 3.27-3.50, 3 Nd 3.62-3.64
Nd1 0.0605 0.0605 0.7166  3 Cd 3.48-3.51, 6 Nd 3.57-3.74, 1 Ca 3.71
Nd2 0.3098 0.3098 0.9991  2 Cd 3.14-3.31, 2 Nd 3.41
Nd3 0.3815 0.3815 0.4580  4 Cd 3.09-3.29
Nd4 0.6185 0.6185 0.5420  4 Cd 3.09-3.29
Nd5 0.6902 0.6902 0.0009  2 Cd 3.14-3.31, 2 Nd 3.41
Nd6 0.9395 0.9395 0.2834  3 Cd 3.48-3.51, 6 Nd 3.57-3.74, 1 Ca 3.71
Cd1 0.2338 0.2338 0.6030  5 Nd 3.26-3.48, 3 Ca 3.42-3.50, 3 Cd 3.52-3.56
Cd2 0.4746 0.4746 0.8319  1 Cd 2.85, 2 Nd 3.09-3.14
Cd3 0.5254 0.5254 0.1681  1 Cd 2.85, 2 Nd 3.09-3.14
Cd4 0.7662 0.7662 0.3970  5 Nd 3.26-3.48, 3 Ca 3.42-3.50, 3 Cd 3.52-3.56

Computed properties:
Formation energy: -0.1456 eV per atom
D(E_F): 12.93 states/eV per cell
Offset from the most stable computed form: 0.060 eV per atom
Final energy: -3.168 eV/atom

A plane-wave DFT calculation with GGA-PBE was carried out for an optimized crystal structure of CaNd2Cd3.

abc: 5.4420 5.4420 13.3236
angles: 90.00 90.00 120.00
With the nearest neighbours (Å) after each atom.
Atoms (fractional coordinates):
Ca1 0.3333 0.6667 0.1670  8 Cd 3.32-3.34
Ca2 0.6667 0.3333 0.8330  8 Cd 3.32-3.34
Nd1 0.0000 0.0000 0.0000  8 Cd 3.32-3.33
Nd2 0.0000 0.0000 0.5000  8 Cd 3.33-3.34
Nd3 0.3333 0.6667 0.6700  8 Cd 3.30-3.37
Nd4 0.6667 0.3333 0.3300  8 Cd 3.30-3.37
Cd1 0.0000 0.0000 0.2490  5 Nd 3.32-3.34, 3 Ca 3.33
Cd2 0.0000 0.0000 0.7510  5 Nd 3.32-3.34, 3 Ca 3.33
Cd3 0.3333 0.6667 0.4174  7 Nd 3.33-3.37, 1 Ca 3.34
Cd4 0.3333 0.6667 0.9174  4 Nd 3.30-3.33, 4 Ca 3.32-3.34
Cd5 0.6667 0.3333 0.0826  4 Nd 3.30-3.33, 4 Ca 3.32-3.34
Cd6 0.6667 0.3333 0.5826  7 Nd 3.33-3.37, 1 Ca 3.34

Computed properties:
Formation energy: -0.3491 eV per atom
D(E_F): 11.37 states/eV per cell
Offset from the most stable computed form: 0.000 eV per atom
Final energy: -2.730 eV/atom

A plane-wave DFT calculation with GGA-PBE was carried out for an optimized crystal structure of Ca3NdCd2.

abc: 5.3224 10.0915 7.1257
angles: 90.00 90.00 90.00
With the nearest neighbours (Å) after each atom.
Atoms (fractional coordinates):
Ca1 0.0000 0.0539 0.0000  3 Cd 3.32-3.40, 2 Ca 3.63
Ca2 0.0000 0.3150 0.3683  4 Cd 3.23-3.30
Ca3 0.0000 0.6850 0.8683  4 Cd 3.23-3.30
Ca4 0.0000 0.9461 0.5000  3 Cd 3.32-3.40, 2 Ca 3.63
Ca5 0.5000 0.1853 0.7068  4 Cd 3.29-3.33, 2 Ca 3.63
Ca6 0.5000 0.8147 0.2068  4 Cd 3.29-3.33, 2 Ca 3.63
Nd1 0.5000 0.4513 0.0741  5 Cd 3.32-3.69, 2 Ca 3.66, 2 Nd 3.70
Nd2 0.5000 0.5487 0.5741  5 Cd 3.32-3.69, 2 Ca 3.66, 2 Nd 3.70
Cd1 0.0000 0.3664 0.8222  5 Ca 3.23-3.40, 2 Nd 3.32
Cd2 0.0000 0.6336 0.3222  5 Ca 3.23-3.40, 2 Nd 3.32
Cd3 0.5000 0.1414 0.2491  6 Ca 3.29-3.32, 1 Nd 3.37
Cd4 0.5000 0.8586 0.7491  6 Ca 3.29-3.32, 1 Nd 3.37

Computed properties:
Formation energy: -0.2209 eV per atom
D(E_F): 13.59 states/eV per cell
Final energy: -2.321 eV/atom

A plane-wave DFT calculation with GGA-PBE was carried out for an optimized crystal structure of CaNd2Cd2.

abc: 3.8185 5.5139 14.4947
angles: 90.00 97.61 90.00
With the nearest neighbours (Å) after each atom.
Atoms (fractional coordinates):
Ca1 0.1456 0.2500 0.2900  6 Cd 3.35-3.36
Ca2 0.8544 0.7500 0.7100  6 Cd 3.35-3.36
Nd1 0.0478 0.7500 0.0940  8 Cd 3.33-3.36
Nd2 0.2340 0.7500 0.4686  2 Cd 3.27, 4 Nd 3.47
Nd3 0.7660 0.2500 0.5314  2 Cd 3.27, 4 Nd 3.47
Nd4 0.9522 0.2500 0.9060  8 Cd 3.33-3.36
Cd1 0.3580 0.2500 0.7161  4 Nd 3.27-3.33, 4 Ca 3.35-3.36
Cd2 0.4501 0.7500 0.9021  6 Nd 3.35-3.36, 2 Ca 3.35-3.36
Cd3 0.5499 0.2500 0.0979  6 Nd 3.35-3.36, 2 Ca 3.35-3.36
Cd4 0.6420 0.7500 0.2838  4 Nd 3.27-3.33, 4 Ca 3.35-3.36

Computed properties:
Formation energy: -0.2548 eV per atom
D(E_F): 11.45 states/eV per cell
Offset from the most stable computed form: 0.000 eV per atom
Final energy: -2.928 eV/atom

A plane-wave DFT calculation with GGA-PBE was carried out for an optimized crystal structure of CaNd3Cd2.

abc: 5.4342 9.8014 7.0208
angles: 90.00 90.00 90.00
With the nearest neighbours (Å) after each atom.
Atoms (fractional coordinates):
Ca1 0.0000 0.0396 0.0000  3 Cd 3.34-3.38, 2 Ca 3.60, 5 Nd 3.66-3.72
Ca2 0.0000 0.9604 0.5000  3 Cd 3.34-3.38, 2 Ca 3.60, 5 Nd 3.66-3.72
Nd1 0.0000 0.3280 0.6678  4 Cd 3.20-3.29
Nd2 0.0000 0.6720 0.1678  4 Cd 3.20-3.29
Nd3 0.5000 0.1752 0.2961  4 Cd 3.21-3.26, 1 Nd 3.58
Nd4 0.5000 0.4554 0.9680  3 Cd 3.32-3.37, 7 Nd 3.58-3.72
Nd5 0.5000 0.5446 0.4680  3 Cd 3.32-3.37, 7 Nd 3.58-3.72
Nd6 0.5000 0.8248 0.7961  4 Cd 3.21-3.26, 1 Nd 3.58
Cd1 0.0000 0.3464 0.2069  6 Nd 3.20-3.37, 1 Ca 3.34
Cd2 0.0000 0.6536 0.7069  6 Nd 3.20-3.37, 1 Ca 3.34
Cd3 0.5000 0.1512 0.7589  5 Nd 3.21-3.32, 2 Ca 3.38
Cd4 0.5000 0.8488 0.2589  5 Nd 3.21-3.32, 2 Ca 3.38

Computed properties:
Formation energy: -0.2055 eV per atom
D(E_F): 14.08 states/eV per cell
Offset from the most stable computed form: 0.000 eV per atom
Final energy: -3.228 eV/atom

A plane-wave DFT calculation with GGA-PBE was carried out for an optimized crystal structure of Ca3Nd2Cd3.

abc: 12.0614 12.0614 12.0614
angles: 161.85 153.43 32.37
With the nearest neighbours (Å) after each atom.
Atoms (fractional coordinates):
Ca1 0.0000 0.0000 0.0000  8 Cd 3.33-3.36
Ca2 0.3805 0.8805 0.5000  6 Cd 3.36
Ca3 0.6195 0.1195 0.5000  6 Cd 3.36
Nd1 0.2324 0.2324 0.0000  2 Cd 3.26, 4 Nd 3.46
Nd2 0.7676 0.7676 0.0000  2 Cd 3.26, 4 Nd 3.46
Cd1 0.1179 0.6179 0.5000  2 Nd 3.26, 6 Ca 3.33-3.36
Cd2 0.5000 0.5000 0.0000  8 Ca 3.36
Cd3 0.8821 0.3821 0.5000  2 Nd 3.26, 6 Ca 3.33-3.36

Computed properties:
Formation energy: -0.2447 eV per atom
D(E_F): 9.49 states/eV per cell
Final energy: -2.530 eV/atom

A plane-wave DFT calculation with GGA-PBE was carried out for an optimized crystal structure of CaNd2Cd3.

abc: 3.8309 3.8309 11.7057
angles: 90.00 90.00 90.00
With the nearest neighbours (Å) after each atom.
Atoms (fractional coordinates):
Ca1 0.0000 0.0000 0.0000  8 Cd 3.35
Nd1 0.0000 0.0000 0.3348  8 Cd 3.33
Nd2 0.0000 0.0000 0.6652  8 Cd 3.33
Cd1 0.5000 0.5000 0.1688  4 Nd 3.33, 4 Ca 3.35
Cd2 0.5000 0.5000 0.5000  8 Nd 3.33
Cd3 0.5000 0.5000 0.8312  4 Nd 3.33, 4 Ca 3.35

Computed properties:
Formation energy: -0.3376 eV per atom
D(E_F): 5.38 states/eV per cell
Offset from the most stable computed form: 0.012 eV per atom
Final energy: -2.718 eV/atom

A plane-wave DFT calculation with GGA-PBE was carried out for an optimized crystal structure of CaNd4Cd5.

abc: 3.8391 3.8391 19.4291
angles: 90.00 90.00 90.00
With the nearest neighbours (Å) after each atom.
Atoms (fractional coordinates):
Ca1 0.0000 0.0000 0.0000  8 Cd 3.35
Nd1 0.0000 0.0000 0.2001  8 Cd 3.33-3.34
Nd2 0.0000 0.0000 0.3994  8 Cd 3.33-3.35
Nd3 0.0000 0.0000 0.6006  8 Cd 3.33-3.35
Nd4 0.0000 0.0000 0.7999  8 Cd 3.33-3.34
Cd1 0.5000 0.5000 0.1011  4 Nd 3.33, 4 Ca 3.35
Cd2 0.5000 0.5000 0.3004  8 Nd 3.33-3.34
Cd3 0.5000 0.5000 0.5000  8 Nd 3.35
Cd4 0.5000 0.5000 0.6996  8 Nd 3.33-3.34
Cd5 0.5000 0.5000 0.8989  4 Nd 3.33, 4 Ca 3.35

Computed properties:
Formation energy: -0.3294 eV per atom
D(E_F): 10.90 states/eV per cell
Final energy: -2.894 eV/atom

A plane-wave DFT calculation with GGA-PBE was carried out for an optimized crystal structure of CaNdCd.

abc: 5.3119 5.3119 5.3119
angles: 60.00 60.00 60.00
With the nearest neighbours (Å) after each atom.
Atoms (fractional coordinates):
Ca1 0.0000 0.0000 0.0000  4 Cd 3.25
Nd1 0.5000 0.5000 0.5000  4 Cd 3.25
Cd1 0.7500 0.7500 0.7500  4 Nd 3.25, 4 Ca 3.25

Computed properties:
Formation energy: -0.0099 eV per atom
D(E_F): 4.19 states/eV per cell
Offset from the most stable computed form: 0.185 eV per atom
Final energy: -2.571 eV/atom

What did the eleventh record say?
A plane-wave DFT calculation with GGA-PBE was carried out for an optimized crystal structure of CaNd4Cd5.

abc: 3.8391 3.8391 19.4291
angles: 90.00 90.00 90.00
With the nearest neighbours (Å) after each atom.
Atoms (fractional coordinates):
Ca1 0.0000 0.0000 0.0000  8 Cd 3.35
Nd1 0.0000 0.0000 0.2001  8 Cd 3.33-3.34
Nd2 0.0000 0.0000 0.3994  8 Cd 3.33-3.35
Nd3 0.0000 0.0000 0.6006  8 Cd 3.33-3.35
Nd4 0.0000 0.0000 0.7999  8 Cd 3.33-3.34
Cd1 0.5000 0.5000 0.1011  4 Nd 3.33, 4 Ca 3.35
Cd2 0.5000 0.5000 0.3004  8 Nd 3.33-3.34
Cd3 0.5000 0.5000 0.5000  8 Nd 3.35
Cd4 0.5000 0.5000 0.6996  8 Nd 3.33-3.34
Cd5 0.5000 0.5000 0.8989  4 Nd 3.33, 4 Ca 3.35

Computed properties:
Formation energy: -0.3294 eV per atom
D(E_F): 10.90 states/eV per cell
Final energy: -2.894 eV/atom

Look up the D(E_F) of the sixth one.
13.59 states/eV per cell

Please write out number 7 again, unchanged.
A plane-wave DFT calculation with GGA-PBE was carried out for an optimized crystal structure of CaNd2Cd2.

abc: 3.8185 5.5139 14.4947
angles: 90.00 97.61 90.00
With the nearest neighbours (Å) after each atom.
Atoms (fractional coordinates):
Ca1 0.1456 0.2500 0.2900  6 Cd 3.35-3.36
Ca2 0.8544 0.7500 0.7100  6 Cd 3.35-3.36
Nd1 0.0478 0.7500 0.0940  8 Cd 3.33-3.36
Nd2 0.2340 0.7500 0.4686  2 Cd 3.27, 4 Nd 3.47
Nd3 0.7660 0.2500 0.5314  2 Cd 3.27, 4 Nd 3.47
Nd4 0.9522 0.2500 0.9060  8 Cd 3.33-3.36
Cd1 0.3580 0.2500 0.7161  4 Nd 3.27-3.33, 4 Ca 3.35-3.36
Cd2 0.4501 0.7500 0.9021  6 Nd 3.35-3.36, 2 Ca 3.35-3.36
Cd3 0.5499 0.2500 0.0979  6 Nd 3.35-3.36, 2 Ca 3.35-3.36
Cd4 0.6420 0.7500 0.2838  4 Nd 3.27-3.33, 4 Ca 3.35-3.36

Computed properties:
Formation energy: -0.2548 eV per atom
D(E_F): 11.45 states/eV per cell
Offset from the most stable computed form: 0.000 eV per atom
Final energy: -2.928 eV/atom